# 1
Below is an optimized crystal structure of PuBiSb2, with properties calculated at the PBE level.

a = 4.1781 Å, b = 4.1781 Å, c = 6.4311 Å
α = 90.00°, β = 90.00°, γ = 90.00°
With the nearest neighbours (Å) after each atom.
Space group P4/mmm (No. 123)
One atom of each set of equivalent atoms:
Pu: 0.0000 0.0000 0.0000 x1  2 Bi 3.22, 8 Sb 3.32
Bi: 0.0000 0.0000 0.5000 x1  2 Pu 3.22, 8 Sb 3.41
Sb: 0.5000 0.5000 0.2349 x2  1 Sb 3.02, 4 Pu 3.32

Computed properties:
- D(E_F): 10.0 states/eV/f.u.
- E: -27.4 eV/cell
- Formation energy without anion corrections: -0.24 eV per atom

---

# 2
Below is an optimized crystal structure of Pu6Bi2Sb, with properties calculated at the PBE level.

a = 8.9722 Å, b = 8.9722 Å, c = 3.4814 Å
α = 90.00°, β = 90.00°, γ = 120.00°
With the nearest neighbours (Å) after each atom.
Space group P6/mmm (No. 191)
One atom of each set of equivalent atoms:
Pu: 0.0000 0.3301 0.0000 x6  3 Pu 2.96-3.05
Bi: 0.3333 0.6667 0.5000 x2  12 Pu 3.47, 2 Bi 3.48
Sb: 0.0000 0.0000 0.5000 x1  12 Pu 3.44, 2 Sb 3.48

Computed properties:
- D(E_F): 30.3 states/eV/f.u.
- E: -98.8 eV/cell
- Formation energy without anion corrections: -0.10 eV per atom

---

# 3
Below is an optimized crystal structure of PuBi2Sb2, with properties calculated at the PBE level.

a = 4.5935 Å, b = 27.2854 Å, c = 4.5739 Å
α = 90.00°, β = 90.00°, γ = 90.00°
With the nearest neighbours (Å) after each atom.
Space group Cmcm (No. 63)
One atom of each set of equivalent atoms:
Pu: 0.0000 0.1595 0.2500 x4  8 Sb 3.25-3.38, 2 Bi 3.52
Bi: 0.0000 0.0615 0.7500 x4  4 Bi 3.25, 2 Sb 3.34, 2 Pu 3.52
Bi: 0.0000 0.4457 0.7500 x4  4 Bi 3.25, 2 Sb 3.48
Sb: 0.0000 0.2496 0.7500 x4  8 Sb 3.24-3.56, 4 Pu 3.36-3.38
Sb: 0.0000 0.3495 0.2500 x4  4 Pu 3.25, 4 Bi 3.34-3.48, 4 Sb 3.55-3.56

Computed properties:
- D(E_F): 9.2 states/eV/f.u.
- E: -126.3 eV/cell
- Formation energy without anion corrections: -0.25 eV per atom

---

# 4
Below is an optimized crystal structure of PuBiSb2, with properties calculated at the PBE level.

a = 3.4467 Å, b = 3.4467 Å, c = 34.6272 Å
α = 90.00°, β = 90.00°, γ = 120.00°
With the nearest neighbours (Å) after each atom.
Space group R-3m (No. 166, hexagonal axes)
One atom of each set of equivalent atoms:
Pu: 0.0000 0.0000 0.0000 x3  6 Sb 3.25, 6 Pu 3.45
Bi: 0.0000 0.0000 0.5000 x3  2 Sb 3.20, 6 Bi 3.45
Sb: 0.0000 0.0000 0.4077 x6  1 Bi 3.20, 3 Pu 3.25, 6 Sb 3.45

Computed properties:
- D(E_F): 9.2 states/eV/f.u.
- E: -80.1 eV/cell
- Formation energy without anion corrections: -0.06 eV per atom